A relaxed OsRuCl2 crystal, computed with PBE-GGA.

Cell: 7.098 7.098 4.509 Å, 88.61 88.61 23.46°
Fractional positions:
Cl: 0.892 0.892 0.012
Cl: 0.608 0.608 0.488
Os: 0.750 0.750 0.750
Ru: 0.250 0.250 0.250

Results
As for the energy: -5.49 eV per atom. The uncorrected formation energy is 0.56 eV per atom. The excess energy over the best structure of this formula in the dataset comes out at 1.835 eV/f.u.